Tb2DyCu4Si2Ge2 | PBE-GGA | relaxed

Cell: 4.2028 6.5998 13.8582 Å, 90.00 90.00 90.00°
With the nearest neighbours (Å) after each atom.
Space group Immm (No. 71)
Inequivalent atoms, fractional coordinates:
Tb  0.0000  0.0000  0.1302 (multiplicity 4)  6 Cu 2.97-3.13, 2 Ge 2.99, 4 Si 3.02
Dy  0.0000  0.5000  0.0000 (multiplicity 2)  4 Si 2.96, 2 Ge 3.00
Cu  0.0000  0.1897  0.3371 (multiplicity 8)  1 Si 2.41, 1 Cu 2.50, 3 Ge 2.56-2.65
Si  0.0000  0.3166  0.5000 (multiplicity 4)  2 Cu 2.41, 1 Si 2.42
Ge  0.0000  0.5000  0.2162 (multiplicity 4)  6 Cu 2.56-2.65

Computed properties:
offset from the most stable computed form	0.006	eV/atom

=====

Lu2Sc2O5 | PBE-GGA | relaxed

Cell: 3.7489 3.7489 8.9549 Å, 90.00 90.00 90.00°
With the nearest neighbours (Å) after each atom.
Space group P4/mmm (No. 123)
Inequivalent atoms, fractional coordinates:
Lu  0.0000  0.0000  0.2422 (multiplicity 2)  5 O 2.08-2.31
Sc  0.5000  0.5000  0.0000 (multiplicity 1)  8 O 2.27
Sc  0.5000  0.5000  0.5000 (multiplicity 1)  4 O 2.65
O  0.0000  0.0000  0.5000 (multiplicity 1)  2 Lu 2.31
O  0.0000  0.5000  0.1421 (multiplicity 4)  2 Lu 2.08, 2 Sc 2.27

Computed properties:
offset from the most stable computed form	0.000	eV/atom

=====

Y4Zn3Mo2C3 | PBE-GGA | relaxed

Cell: 10.2325 5.9688 14.3936 Å, 90.00 105.76 90.00°
With the nearest neighbours (Å) after each atom.
Space group C2/c (No. 15)
Inequivalent atoms, fractional coordinates:
Y  0.1227  0.0670  0.1051 (multiplicity 8)  3 C 2.50-2.52
Y  0.2028  0.0926  0.3949 (multiplicity 8)  3 C 2.50-2.51
Zn  0.0000  0.1779  0.7500 (multiplicity 4)  2 Zn 2.49
Zn  0.1194  0.4611  0.2443 (multiplicity 8)  2 Zn 2.49
Mo  0.0663  0.4078  0.9345 (multiplicity 8)  3 C 2.07-2.09
C  0.0735  0.2770  0.4994 (multiplicity 8)  2 Mo 2.07-2.09
C  0.2500  0.2500  0.0000 (multiplicity 4)  2 Mo 2.08

Computed properties:
final energy	-331.53	eV/cell

=====

NaIrAu3Se4 | PBE-GGA | relaxed

Cell: 6.3160 6.3160 6.3160 Å, 90.00 90.00 90.00°
With the nearest neighbours (Å) after each atom.
Space group P-43m (No. 215)
Inequivalent atoms, fractional coordinates:
Na  0.0000  0.0000  0.0000 (multiplicity 1)  4 Se 3.02
Ir  0.5000  0.5000  0.5000 (multiplicity 1)  4 Se 2.45
Au  0.0000  0.5000  0.5000 (multiplicity 3)  4 Se 2.65
Se  0.2759  0.2759  0.2759 (multiplicity 4)  1 Ir 2.45, 3 Au 2.65

Computed properties:
final energy	-33.43	eV/cell

=====

TlZnAsO | PBE-GGA | relaxed

Cell: 3.9091 6.4397 6.4588 Å, 90.00 90.00 90.00°
With the nearest neighbours (Å) after each atom.
Space group Pmc2_1 (No. 26)
Inequivalent atoms, fractional coordinates:
Tl  0.0000  0.1646  0.0000 (multiplicity 2)  2 O 2.29-2.35
Zn  0.5000  0.2897  0.4226 (multiplicity 2)  2 O 2.15
As  0.5000  0.3470  0.7989 (multiplicity 2)  2 Zn 2.46-2.47, 2 Tl 2.62
O  0.0000  0.1694  0.3544 (multiplicity 2)  2 Zn 2.15, 2 Tl 2.29-2.35

Computed properties:
offset from the most stable computed form	0.108	eV/atom

=====

GdTaGa | PBE-GGA | relaxed

Cell: 6.5396 6.5396 6.5396 Å, 90.00 90.00 90.00°
With the nearest neighbours (Å) after each atom.
Space group F-43m (No. 216)
Inequivalent atoms, fractional coordinates:
Gd  0.0000  0.0000  0.0000 (multiplicity 4)  4 Ga 2.83
Ta  0.0000  0.0000  0.5000 (multiplicity 4)  4 Ga 2.83
Ga  0.2500  0.2500  0.2500 (multiplicity 4)  4 Gd 2.83, 4 Ta 2.83

Computed properties:
final energy	-74.39	eV/cell